1.
This record from Alexandria describes crystalline Tb3PmSm7 at its relaxed geometry. The functional is GGA-PBE.

Cell lengths 7.059, 5.643, 10.028 Å; angles 90.00, 110.23, 90.00 degrees
Fractional coordinates of all 11 atoms:
1 Tb 0.000 0.000 0.000
2 Tb 0.221 0.500 0.501
3 Tb 0.779 0.500 0.499
4 Pm 0.500 0.000 0.000
5 Sm 0.082 0.000 0.670
6 Sm 0.177 0.500 0.859
7 Sm 0.355 0.500 0.210
8 Sm 0.500 0.000 0.500
9 Sm 0.645 0.500 0.790
10 Sm 0.823 0.500 0.141
11 Sm 0.918 0.000 0.330

Results
The space group is P2/m, No. 10. The distance to the lowest polymorph of the same formula is 0 meV per atom. Its energy of formation from the pure elements is 1.36 eV per formula unit.


2.
This record from Alexandria describes crystalline Ho3Tm2Zn3 at its relaxed geometry. The functional is GGA-PBE.

Cell lengths 11.067, 11.067, 11.067 Å; angles 161.47, 153.17, 32.81 degrees
Fractional coordinates of all 8 atoms:
1 Ho 0.000 0.000 0.000
2 Ho 0.381 0.881 0.500
3 Ho 0.619 0.119 0.500
4 Tm 0.229 0.229 0.000
5 Tm 0.771 0.771 0.000
6 Zn 0.116 0.616 0.500
7 Zn 0.500 0.500 0.000
8 Zn 0.884 0.384 0.500

Results
The space group is Immm, No. 71. Its energy of formation from the pure elements is -2.02 eV per formula unit.


3.
This record from Alexandria describes crystalline SiTcRuC at its relaxed geometry. The functional is GGA-PBE.

Cell lengths 3.714, 3.935, 4.252 Å; angles 99.01, 110.20, 107.60 degrees
Fractional coordinates of all 4 atoms:
1 Si 0.000 0.000 0.000
2 Tc 0.884 0.546 0.357
3 Ru 0.461 0.243 0.713
4 C 0.508 0.728 0.554

Results
The space group is P1, No. 1. The distance to the lowest polymorph of the same formula is 341 meV per atom. The formation energy from raw total energies is 122 kJ/mol of formula units.


4.
This record from Alexandria describes crystalline YReSn2H at its relaxed geometry. The functional is GGA-PBE.

Cell lengths 4.612, 4.612, 4.178 Å; angles 90.00, 90.00, 90.00 degrees
Fractional coordinates of all 5 atoms:
1 Y 0.000 0.000 0.000
2 Re 0.500 0.500 0.000
3 Sn 0.000 0.500 0.500
4 Sn 0.500 0.000 0.500
5 H 0.000 0.000 0.500

Results
The space group is P4/mmm, No. 123.


5.
This record from Alexandria describes crystalline RbCrBiI6 at its relaxed geometry. The functional is GGA-PBE.

Cell lengths 7.827, 7.827, 8.091 Å; angles 90.00, 90.00, 120.00 degrees
Fractional coordinates of all 9 atoms:
1 Rb 0.000 0.000 0.000
2 Cr 0.667 0.333 0.500
3 Bi 0.333 0.667 0.500
4 I 0.386 0.023 0.289
5 I 0.386 0.363 0.711
6 I 0.637 0.023 0.711
7 I 0.637 0.614 0.289
8 I 0.977 0.363 0.289
9 I 0.977 0.614 0.711

Results
The space group is P312, No. 149. The formation energy from raw total energies is -529 kJ/mol of formula units.


6.
This record from Alexandria describes crystalline La2DyP3Pt12 at its relaxed geometry. The functional is GGA-PBE.

Cell lengths 7.784, 7.784, 7.784 Å; angles 64.59, 64.59, 64.59 degrees
Fractional coordinates of all 18 atoms:
1 La 0.103 0.103 0.103
2 La 0.897 0.897 0.897
3 Dy 0.500 0.500 0.500
4 P 0.000 0.500 0.500
5 P 0.500 0.000 0.500
6 P 0.500 0.500 0.000
7 Pt 0.100 0.640 0.640
8 Pt 0.162 0.162 0.601
9 Pt 0.162 0.601 0.162
10 Pt 0.360 0.360 0.900
11 Pt 0.360 0.900 0.360
12 Pt 0.399 0.838 0.838
13 Pt 0.601 0.162 0.162
14 Pt 0.640 0.100 0.640
15 Pt 0.640 0.640 0.100
16 Pt 0.838 0.399 0.838
17 Pt 0.838 0.838 0.399
18 Pt 0.900 0.360 0.360

Results
The space group is R-3m, No. 166. Its energy of formation from the pure elements is -9.40 eV per formula unit.


7.
This record from Alexandria describes crystalline Zr7Sb2C2 at its relaxed geometry. The functional is GGA-PBE.

Cell lengths 8.790, 8.790, 8.790 Å; angles 158.34, 65.07, 119.48 degrees
Fractional coordinates of all 11 atoms:
1 Zr 0.000 0.000 0.000
2 Zr 0.068 0.730 0.338
3 Zr 0.072 0.389 0.682
4 Zr 0.392 0.730 0.662
5 Zr 0.435 0.578 0.856
6 Zr 0.707 0.389 0.318
7 Zr 0.722 0.578 0.144
8 Sb 0.333 0.333 0.000
9 Sb 0.722 0.222 0.500
10 C 0.377 0.125 0.252
11 C 0.873 0.125 0.748

Results
The space group is Imm2, No. 44. The formation energy from raw total energies is -430 kJ/mol of formula units.


8.
This record from Alexandria describes crystalline SbClF10 at its relaxed geometry. The functional is GGA-PBE.

Cell lengths 5.915, 15.152, 8.763 Å; angles 90.00, 90.00, 90.00 degrees
Fractional coordinates of all 48 atoms:
1 Sb 0.085 0.143 0.250
2 Sb 0.085 0.357 0.750
3 Sb 0.915 0.643 0.250
4 Sb 0.915 0.857 0.750
5 Cl 0.421 0.662 0.750
6 Cl 0.421 0.838 0.250
7 Cl 0.579 0.162 0.750
8 Cl 0.579 0.338 0.250
9 F 0.080 0.147 0.033
10 F 0.080 0.147 0.467
11 F 0.080 0.353 0.533
12 F 0.080 0.353 0.967
13 F 0.088 0.537 0.250
14 F 0.088 0.963 0.750
15 F 0.194 0.605 0.750
16 F 0.194 0.895 0.250
17 F 0.195 0.713 0.250
18 F 0.195 0.787 0.750
19 F 0.244 0.243 0.750
20 F 0.244 0.257 0.250
21 F 0.368 0.083 0.250
22 F 0.368 0.417 0.750
23 F 0.406 0.081 0.750
24 F 0.406 0.419 0.250
25 F 0.420 0.658 0.559
26 F 0.420 0.658 0.941
27 F 0.420 0.842 0.059
28 F 0.420 0.842 0.441
29 F 0.580 0.158 0.559
30 F 0.580 0.158 0.941
31 F 0.580 0.342 0.059
32 F 0.580 0.342 0.441
33 F 0.594 0.581 0.750
34 F 0.594 0.919 0.250
35 F 0.632 0.583 0.250
36 F 0.632 0.917 0.750
37 F 0.756 0.743 0.750
38 F 0.756 0.757 0.250
39 F 0.805 0.213 0.250
40 F 0.805 0.287 0.750
41 F 0.806 0.105 0.750
42 F 0.806 0.395 0.250
43 F 0.912 0.037 0.250
44 F 0.912 0.463 0.750
45 F 0.920 0.647 0.033
46 F 0.920 0.647 0.467
47 F 0.920 0.853 0.533
48 F 0.920 0.853 0.967

Results
The space group is Pbcm, No. 57. The formation energy from raw total energies is -1667 kJ/mol of formula units.


9.
This record from Alexandria describes crystalline LiCaTl2 at its relaxed geometry. The functional is GGA-PBE.

Cell lengths 5.307, 5.307, 5.307 Å; angles 60.00, 60.00, 60.00 degrees
Fractional coordinates of all 4 atoms:
1 Li 0.000 0.000 0.000
2 Ca 0.250 0.250 0.250
3 Tl 0.500 0.500 0.500
4 Tl 0.750 0.750 0.750

Results
The space group is F-43m, No. 216. Its energy of formation from the pure elements is -0.81 eV per formula unit.


10.
This record from Alexandria describes crystalline LaThSnN at its relaxed geometry. The functional is GGA-PBE.

Cell lengths 7.845, 7.845, 7.845 Å; angles 152.08, 151.93, 40.00 degrees
Fractional coordinates of all 4 atoms:
1 La 0.000 0.000 0.000
2 Th 0.692 0.692 0.000
3 Sn 0.345 0.345 0.000
4 N 0.104 0.604 0.500

Results
The space group is Imm2, No. 44. The formation energy from raw total energies is -394 kJ/mol of formula units.


11.
This record from Alexandria describes crystalline K2In3HgAu4 at its relaxed geometry. The functional is GGA-PBE.

Cell lengths 5.051, 5.051, 10.665 Å; angles 90.00, 90.00, 90.00 degrees
Fractional coordinates of all 10 atoms:
1 K 0.000 0.500 0.245
2 K 0.500 0.000 0.755
3 In 0.000 0.500 0.887
4 In 0.500 0.000 0.113
5 In 0.500 0.500 0.500
6 Hg 0.000 0.000 0.500
7 Au 0.000 0.000 0.000
8 Au 0.000 0.500 0.629
9 Au 0.500 0.000 0.371
10 Au 0.500 0.500 0.000

Results
The space group is P-4m2, No. 115. Its energy of formation from the pure elements is -2.85 eV per formula unit.


12.
This record from Alexandria describes crystalline BaCo2P at its relaxed geometry. The functional is GGA-PBE.

Cell lengths 4.780, 3.518, 5.170 Å; angles 90.00, 90.06, 90.00 degrees
Fractional coordinates of all 4 atoms:
1 Ba 0.000 0.000 0.000
2 Co 0.237 0.500 0.500
3 Co 0.763 0.500 0.500
4 P 0.500 0.000 0.500

Results
The space group is P2/m, No. 10. Its energy of formation from the pure elements is -0.67 eV per formula unit.


13.
This record from Alexandria describes crystalline Zr2TcAg at its relaxed geometry. The functional is GGA-PBE.

Cell lengths 9.899, 9.899, 9.899 Å; angles 155.54, 155.54, 34.87 degrees
Fractional coordinates of all 8 atoms:
1 Zr 0.111 0.625 0.986
2 Zr 0.375 0.361 0.486
3 Zr 0.639 0.125 0.014
4 Zr 0.875 0.889 0.514
5 Tc 0.000 0.000 0.000
6 Tc 0.750 0.250 0.500
7 Ag 0.250 0.750 0.500
8 Ag 0.500 0.500 0.000

Results
The space group is I-42d, No. 122. Its energy of formation from the pure elements is 2.49 eV per formula unit.


14.
This record from Alexandria describes crystalline RbNbRe2 at its relaxed geometry. The functional is GGA-PBE.

Cell lengths 4.731, 4.731, 4.731 Å; angles 60.00, 60.00, 60.00 degrees
Fractional coordinates of all 4 atoms:
1 Rb 0.000 0.000 0.000
2 Nb 0.500 0.500 0.500
3 Re 0.250 0.250 0.250
4 Re 0.750 0.750 0.750

Results
The space group is Fm-3m, No. 225. The distance to the lowest polymorph of the same formula is 0 meV per atom. Its energy of formation from the pure elements is 7.29 eV per formula unit.


15.
This record from Alexandria describes crystalline KCa2Hg2Pb2 at its relaxed geometry. The functional is GGA-PBE.

Cell lengths 10.512, 10.512, 10.512 Å; angles 28.71, 28.71, 28.71 degrees
Fractional coordinates of all 7 atoms:
1 K 0.000 0.000 0.000
2 Ca 0.135 0.135 0.135
3 Ca 0.865 0.865 0.865
4 Hg 0.444 0.444 0.444
5 Hg 0.556 0.556 0.556
6 Pb 0.252 0.252 0.252
7 Pb 0.748 0.748 0.748

Results
The space group is R-3m, No. 166. Its energy of formation from the pure elements is -2.47 eV per formula unit.


16.
This record from Alexandria describes crystalline MgI2O at its relaxed geometry. The functional is GGA-PBE.

Cell lengths 8.239, 8.239, 8.239 Å; angles 136.04, 136.04, 63.93 degrees
Fractional coordinates of all 8 atoms:
1 Mg 0.000 0.000 0.000
2 Mg 0.750 0.250 0.500
3 I 0.127 0.625 0.002
4 I 0.375 0.377 0.502
5 I 0.623 0.125 0.998
6 I 0.875 0.873 0.498
7 O 0.250 0.750 0.500
8 O 0.500 0.500 0.000

Results
The space group is I-42d, No. 122. The distance to the lowest polymorph of the same formula is 0 meV per atom. The formation energy from raw total energies is -25 kJ/mol of formula units.


17.
This record from Alexandria describes crystalline Th4TcBi2S at its relaxed geometry. The functional is GGA-PBE.

Cell lengths 7.466, 4.278, 7.824 Å; angles 90.00, 108.76, 90.00 degrees
Fractional coordinates of all 8 atoms:
1 Th 0.222 0.000 0.205
2 Th 0.255 0.500 0.791
3 Th 0.745 0.500 0.209
4 Th 0.778 0.000 0.795
5 Tc 0.000 0.500 0.000
6 Bi 0.000 0.000 0.500
7 Bi 0.500 0.500 0.500
8 S 0.500 0.000 0.000

Results
The space group is P2/m, No. 10. The formation energy from raw total energies is -576 kJ/mol of formula units.


18.
This record from Alexandria describes crystalline Pm5PuBi4 at its relaxed geometry. The functional is GGA-PBE.

Cell lengths 9.995, 9.995, 8.730 Å; angles 105.55, 105.55, 25.98 degrees
Fractional coordinates of all 10 atoms:
1 Pm 0.000 0.000 0.000
2 Pm 0.322 0.322 0.147
3 Pm 0.338 0.338 0.680
4 Pm 0.662 0.662 0.320
5 Pm 0.678 0.678 0.853
6 Pu 0.000 0.000 0.500
7 Bi 0.169 0.169 0.588
8 Bi 0.491 0.491 0.245
9 Bi 0.509 0.509 0.755
10 Bi 0.831 0.831 0.412

Results
The space group is C2/m, No. 12. Its energy of formation from the pure elements is -4.44 eV per formula unit.


19.
This record from Alexandria describes crystalline SrCdOs at its relaxed geometry. The functional is GGA-PBE.

Cell lengths 5.049, 5.049, 5.049 Å; angles 60.00, 60.00, 60.00 degrees
Fractional coordinates of all 3 atoms:
1 Sr 0.000 0.000 0.000
2 Cd 0.750 0.750 0.750
3 Os 0.250 0.250 0.250

Results
The space group is F-43m, No. 216. The distance to the lowest polymorph of the same formula is 913 meV per atom. Its energy of formation from the pure elements is 4.56 eV per formula unit.


20.
This record from Alexandria describes crystalline Hf4Rh at its relaxed geometry. The functional is GGA-PBE.

Cell lengths 7.343, 6.083, 8.652 Å; angles 56.60, 43.76, 79.64 degrees
Fractional coordinates of all 10 atoms:
1 Hf 0.000 0.500 0.115
2 Hf 0.135 0.865 0.250
3 Hf 0.448 0.525 0.350
4 Hf 0.500 0.000 0.385
5 Hf 0.525 0.448 0.676
6 Hf 0.574 0.900 0.725
7 Hf 0.865 0.135 0.750
8 Hf 0.900 0.574 0.802
9 Rh 0.035 0.035 0.965
10 Rh 0.285 0.285 0.215

Results
The space group is Fdd2, No. 43. The distance to the lowest polymorph of the same formula is 0 meV per atom. Its energy of formation from the pure elements is -0.94 eV per formula unit.


21.
This record from Alexandria describes crystalline SmAgBr4 at its relaxed geometry. The functional is GGA-PBE.

Cell lengths 7.197, 4.232, 7.354 Å; angles 90.00, 101.72, 90.00 degrees
Fractional coordinates of all 6 atoms:
1 Sm 0.000 0.000 0.000
2 Ag 0.000 0.500 0.500
3 Br 0.208 0.000 0.708
4 Br 0.244 0.500 0.182
5 Br 0.756 0.500 0.818
6 Br 0.792 0.000 0.292

Results
The space group is P2/m, No. 10. The distance to the lowest polymorph of the same formula is 0 meV per atom. The formation energy from raw total energies is -775 kJ/mol of formula units.


22.
This record from Alexandria describes crystalline LiNdCuSn2 at its relaxed geometry. The functional is GGA-PBE.

Cell lengths 6.537, 6.537, 6.537 Å; angles 140.83, 140.83, 56.59 degrees
Fractional coordinates of all 5 atoms:
1 Li 0.000 0.000 0.000
2 Nd 0.250 0.750 0.500
3 Cu 0.500 0.500 0.000
4 Sn 0.627 0.127 0.500
5 Sn 0.873 0.373 0.500

Results
The space group is I-4m2, No. 119. Its energy of formation from the pure elements is -2.39 eV per formula unit.


23.
This record from Alexandria describes crystalline SmHoTeS at its relaxed geometry. The functional is GGA-PBE.

Cell lengths 7.543, 7.543, 7.543 Å; angles 31.23, 31.23, 31.23 degrees
Fractional coordinates of all 4 atoms:
1 Sm 0.000 0.000 0.000
2 Ho 0.806 0.806 0.806
3 Te 0.233 0.233 0.233
4 S 0.408 0.408 0.408

Results
The space group is R3m, No. 160. The formation energy from raw total energies is -659 kJ/mol of formula units.


| no. | N(E_F) (states/eV/f.u.) | VASP energy (eV/atom) |
| --- | --- | --- |
| 1 | 14.84 | -4.574 |
| 2 | 9.49 | -3.565 |
| 3 | 1.77 | -8.255 |
| 4 | 3.46 | -5.800 |
| 5 | 6.06 | -3.251 |
| 6 | 6.76 | -6.254 |
| 7 | 7.95 | -8.272 |
| 8 | 0.00 | -3.496 |
| 9 | 2.67 | -2.363 |
| 10 | 2.82 | -7.189 |
| 11 | 2.86 | -2.668 |
| 12 | 2.80 | -5.553 |
| 13 | 3.56 | -6.957 |
| 14 | 5.56 | -7.162 |
| 15 | 2.51 | -2.227 |
| 16 | 1.62 | -2.479 |
| 17 | 6.68 | -7.238 |
| 18 | 20.04 | -5.805 |
| 19 | 6.46 | -3.090 |
| 20 | 6.87 | -9.621 |
| 21 | 0.00 | -3.715 |
| 22 | 1.46 | -4.235 |
| 23 | 0.18 | -5.849 |